[1]
# LaHoGa

LaHoGa after structural relaxation (PBE-GGA, Alexandria via LeMat-Bulk).

Cell: 5.0772 5.0772 5.0772 Å, 60.00 60.00 60.00°
With the nearest neighbours (Å) after each atom.
Element x y z (fractional)
La 0.0000 0.0000 0.0000  4 Ga 3.11
Ho 0.5000 0.5000 0.5000  4 Ga 3.11
Ga 0.7500 0.7500 0.7500  4 La 3.11, 4 Ho 3.11

## Properties
ΔE to the lowest computed polymorph = 14.0 kJ per mole of atoms

***

[2]
# LaHoGa

LaHoGa after structural relaxation (PBE-GGA, Alexandria via LeMat-Bulk).

Cell: 7.1211 7.1211 7.1211 Å, 150.91 150.91 41.61°
With the nearest neighbours (Å) after each atom.
Element x y z (fractional)
La 0.0000 0.0000 0.0000  4 Ga 3.27, 4 La 3.58
Ho 0.2856 0.2856 0.0000  4 Ga 3.06
Ga 0.6558 0.6558 0.0000  4 Ho 3.06, 4 La 3.27

## Properties
ΔE to the lowest computed polymorph = 4.1 kJ per mole of atoms

***

[3]
# LaHo2Ga

LaHo2Ga after structural relaxation (PBE-GGA, Alexandria via LeMat-Bulk).

Cell: 11.4349 11.4349 11.4349 Å, 17.63 17.63 17.63°
With the nearest neighbours (Å) after each atom.
Element x y z (fractional)
La 0.0000 0.0000 0.0000  2 Ho 3.47, 6 La 3.51
Ho 0.1029 0.1029 0.1029  3 Ga 2.96
Ho 0.8971 0.8971 0.8971  3 Ga 2.96
Ga 0.5000 0.5000 0.5000  6 Ho 2.96

## Properties
ΔE to the lowest computed polymorph = 21.1 kJ per mole of atoms

***

[4]
# La4HoGa5

La4HoGa5 after structural relaxation (PBE-GGA, Alexandria via LeMat-Bulk).

Cell: 3.7118 3.7118 18.8144 Å, 90.00 90.00 90.00°
With the nearest neighbours (Å) after each atom.
Element x y z (fractional)
La 0.0000 0.0000 0.1023  8 Ga 3.25-3.26
La 0.0000 0.0000 0.3073  8 Ga 3.26-3.31, 1 Ho 3.63
La 0.0000 0.0000 0.6927  8 Ga 3.26-3.31, 1 Ho 3.63
La 0.0000 0.0000 0.8977  8 Ga 3.25-3.26
Ho 0.0000 0.0000 0.5000  8 Ga 3.08
Ga 0.5000 0.5000 0.0000  8 La 3.25
Ga 0.5000 0.5000 0.2049  8 La 3.26
Ga 0.5000 0.5000 0.4141  4 Ho 3.08, 1 Ga 3.23, 4 La 3.31
Ga 0.5000 0.5000 0.5859  4 Ho 3.08, 1 Ga 3.23, 4 La 3.31
Ga 0.5000 0.5000 0.7951  8 La 3.26

## Properties
DFT total energy = -45.15 eV for the cell shown

***

[5]
# La2Ho3Ga4

La2Ho3Ga4 after structural relaxation (PBE-GGA, Alexandria via LeMat-Bulk).

Cell: 8.7565 8.7565 8.6119 Å, 90.00 90.00 133.35°
With the nearest neighbours (Å) after each atom.
Element x y z (fractional)
La 0.1075 0.8925 0.9228  6 Ga 3.25-3.52
La 0.3925 0.6075 0.4228  6 Ga 3.25-3.52
La 0.6075 0.3925 0.5772  6 Ga 3.25-3.52
La 0.8925 0.1075 0.0772  6 Ga 3.25-3.52
Ho 0.0000 0.0000 0.5000  6 Ga 2.82-2.99
Ho 0.0335 0.4665 0.7500  5 Ga 2.90-3.08
Ho 0.4665 0.0335 0.2500  5 Ga 2.90-3.08
Ho 0.5000 0.5000 0.0000  6 Ga 2.82-2.99
Ho 0.5335 0.9665 0.7500  5 Ga 2.90-3.08
Ho 0.9665 0.5335 0.2500  5 Ga 2.90-3.08
Ga 0.1847 0.8153 0.5402  5 Ho 2.97-3.08
Ga 0.2141 0.2859 0.7500  3 Ho 2.82-2.90
Ga 0.2859 0.2141 0.2500  3 Ho 2.82-2.90
Ga 0.3153 0.6847 0.0402  5 Ho 2.97-3.08
Ga 0.6847 0.3153 0.9598  5 Ho 2.97-3.08
Ga 0.7141 0.7859 0.7500  3 Ho 2.82-2.90
Ga 0.7859 0.7141 0.2500  3 Ho 2.82-2.90
Ga 0.8153 0.1847 0.4598  5 Ho 2.97-3.08

## Properties
ΔE to the lowest computed polymorph = 13.1 kJ per mole of atoms

***

[6]
# La2HoGa

La2HoGa after structural relaxation (PBE-GGA, Alexandria via LeMat-Bulk).

Cell: 10.8262 10.8262 10.8262 Å, 19.90 19.90 19.90°
With the nearest neighbours (Å) after each atom.
Element x y z (fractional)
La 0.0000 0.0000 0.0000  3 Ga 3.18
La 0.1872 0.1872 0.1872  3 Ga 3.17
Ho 0.4271 0.4271 0.4271  6 La 3.68, 6 Ho 3.74
Ga 0.5936 0.5936 0.5936  6 La 3.17-3.18

## Properties
ΔE to the lowest computed polymorph = 11.0 kJ per mole of atoms

***

[7]
# LaHoGa

LaHoGa after structural relaxation (PBE-GGA, Alexandria via LeMat-Bulk).

Cell: 4.7009 4.7009 7.8690 Å, 90.00 90.00 90.00°
With the nearest neighbours (Å) after each atom.
Element x y z (fractional)
La 0.2500 0.2500 0.1413  5 Ga 3.11-3.44
La 0.7500 0.7500 0.8587  5 Ga 3.11-3.44
Ho 0.2500 0.7500 0.5000  4 Ga 3.04, 4 Ho 3.32
Ho 0.7500 0.2500 0.5000  4 Ga 3.04, 4 Ho 3.32
Ga 0.2500 0.2500 0.7458  4 Ho 3.04, 1 La 3.11
Ga 0.7500 0.7500 0.2542  4 Ho 3.04, 1 La 3.11

## Properties
ΔE to the lowest computed polymorph = 0.0 kJ per mole of atoms

***

[8]
# LaHo2Ga

LaHo2Ga after structural relaxation (PBE-GGA, Alexandria via LeMat-Bulk).

Cell: 3.5444 3.5444 9.0356 Å, 90.00 90.00 90.00°
With the nearest neighbours (Å) after each atom.
Element x y z (fractional)
La 0.0000 0.0000 0.0000  4 La 3.54, 8 Ho 3.68
Ho 0.5000 0.5000 0.2989  4 Ga 3.10
Ho 0.5000 0.5000 0.7011  4 Ga 3.10
Ga 0.0000 0.0000 0.5000  8 Ho 3.10

## Properties
ΔE to the lowest computed polymorph = 0.0 kJ per mole of atoms

***

[9]
# La2Ho3Ga4

La2Ho3Ga4 after structural relaxation (PBE-GGA, Alexandria via LeMat-Bulk).

Cell: 8.0488 8.0506 7.6875 Å, 90.00 106.96 90.00°
With the nearest neighbours (Å) after each atom.
Element x y z (fractional)
La 0.1916 0.1785 0.0748  6 Ga 3.18-3.40
La 0.1916 0.3215 0.5748  6 Ga 3.18-3.40
La 0.8084 0.6785 0.4252  6 Ga 3.18-3.40
La 0.8084 0.8215 0.9252  6 Ga 3.18-3.40
Ho 0.2434 0.6755 0.2508  6 Ga 2.97-3.08
Ho 0.2434 0.8245 0.7508  6 Ga 2.97-3.08
Ho 0.5000 0.0000 0.5000  6 Ga 3.06-3.25
Ho 0.5000 0.5000 0.0000  6 Ga 3.06-3.25
Ho 0.7566 0.1755 0.2492  6 Ga 2.97-3.08
Ho 0.7566 0.3245 0.7492  6 Ga 2.97-3.08
Ga 0.0796 0.5329 0.8710  1 Ga 2.71, 2 Ho 2.97-3.01
Ga 0.0796 0.9671 0.3710  1 Ga 2.71, 2 Ho 2.97-3.01
Ga 0.4969 0.1172 0.8771  1 Ga 2.66
Ga 0.4969 0.3828 0.3771  1 Ga 2.66
Ga 0.5031 0.6172 0.6229  1 Ga 2.66
Ga 0.5031 0.8828 0.1229  1 Ga 2.66
Ga 0.9204 0.0329 0.6290  1 Ga 2.71, 2 Ho 2.97-3.01
Ga 0.9204 0.4671 0.1290  1 Ga 2.71, 2 Ho 2.97-3.01

## Properties
ΔE to the lowest computed polymorph = 0.0 kJ per mole of atoms

***

[10]
# LaHo2Ga8

LaHo2Ga8 after structural relaxation (PBE-GGA, Alexandria via LeMat-Bulk).

Cell: 8.2364 8.2364 5.3536 Å, 108.94 108.94 122.24°
With the nearest neighbours (Å) after each atom.
Element x y z (fractional)
La 0.0000 0.0000 0.0000  14 Ga 3.14-3.48
Ho 0.3110 0.6890 0.5000  12 Ga 2.98-3.25
Ho 0.6890 0.3110 0.5000  12 Ga 2.98-3.25
Ga 0.1165 0.3554 0.7364  4 Ga 2.71-2.81
Ga 0.2180 0.7820 0.0000  2 Ga 2.81, 4 Ho 2.98-2.99, 1 La 3.14
Ga 0.3554 0.1165 0.7364  4 Ga 2.71-2.81
Ga 0.5004 0.5004 0.2619  6 Ga 2.55-2.80
Ga 0.4996 0.4996 0.7381  6 Ga 2.55-2.80
Ga 0.6446 0.8835 0.2636  4 Ga 2.71-2.81
Ga 0.7820 0.2180 0.0000  2 Ga 2.81, 4 Ho 2.98-2.99, 1 La 3.14
Ga 0.8835 0.6446 0.2636  4 Ga 2.71-2.81

## Properties
DFT total energy = -43.77 eV for the cell shown

***

[11]
# La3Ho4Ga4

La3Ho4Ga4 after structural relaxation (PBE-GGA, Alexandria via LeMat-Bulk).

Cell: 9.3757 9.3757 9.3757 Å, 150.25 130.78 58.57°
With the nearest neighbours (Å) after each atom.
Element x y z (fractional)
La 0.0000 0.0000 0.0000  6 Ga 3.41-3.48
La 0.3915 0.8915 0.5000  4 Ga 3.30, 4 Ho 3.46, 1 La 3.55
La 0.6085 0.1085 0.5000  4 Ga 3.30, 4 Ho 3.46, 1 La 3.55
Ho 0.0385 0.3281 0.7104  4 Ga 2.94-2.99, 1 Ho 3.29
Ho 0.3822 0.6719 0.7104  4 Ga 2.94-2.99, 1 Ho 3.29
Ho 0.6178 0.3281 0.2896  4 Ga 2.94-2.99, 1 Ho 3.29
Ho 0.9615 0.6719 0.2896  4 Ga 2.94-2.99, 1 Ho 3.29
Ga 0.2086 0.2086 0.0000  6 Ho 2.98-2.99
Ga 0.3220 0.5000 0.8220  1 Ga 2.78, 2 Ho 2.94
Ga 0.6780 0.5000 0.1780  1 Ga 2.78, 2 Ho 2.94
Ga 0.7914 0.7914 0.0000  6 Ho 2.98-2.99

## Properties
DFT total energy = -49.72 eV for the cell shown

***

[12]
# La2HoGa

La2HoGa after structural relaxation (PBE-GGA, Alexandria via LeMat-Bulk).

Cell: 3.7729 3.7729 8.6832 Å, 90.00 90.00 90.00°
With the nearest neighbours (Å) after each atom.
Element x y z (fractional)
La 0.0000 0.0000 0.2096  4 Ga 3.23
La 0.0000 0.0000 0.7904  4 Ga 3.23
Ho 0.5000 0.5000 0.5000  8 La 3.67, 4 Ho 3.77
Ga 0.5000 0.5000 0.0000  8 La 3.23

## Properties
ΔE to the lowest computed polymorph = 1.0 kJ per mole of atoms

***

Number 1: calculated volume 30.848 A^3/atom. Number 2: calculated volume 28.391 A^3/atom. Number 3: calculated volume 29.939 A^3/atom. Number 4: calculated volume 25.921 A^3/atom. Number 5: calculated volume 26.675 A^3/atom. Number 6: calculated volume 32.164 A^3/atom. Number 7: calculated volume 28.982 A^3/atom. Number 8: calculated volume 28.378 A^3/atom. Number 9: calculated volume 26.470 A^3/atom. Number 10: calculated volume 20.678 A^3/atom. Number 11: calculated volume 27.938 A^3/atom. Number 12: calculated volume 30.901 A^3/atom.